## P
A geometry-optimized VRe3Cl structure. Source: Alexandria, functional GGA-PBE.

abc: 4.596 4.596 4.596
angles: 90.00 90.00 90.00
Atoms (fractional coordinates):
V (0.000, 0.000, 0.000)
Re (0.000, 0.000, 0.500)
Re (0.000, 0.500, 0.000)
Re (0.500, 0.000, 0.000)
Cl (0.500, 0.500, 0.500)

Properties
Fermi-level density of states	1.9093	states/eV per atom
calculated volume	19.41	Å³/atom

## Q
A geometry-optimized VRe3Cl structure. Source: Alexandria, functional GGA-PBE.

abc: 4.328 4.328 4.328
angles: 90.00 90.00 90.00
Atoms (fractional coordinates):
V (0.000, 0.000, 0.000)
Re (0.000, 0.500, 0.500)
Re (0.500, 0.000, 0.500)
Re (0.500, 0.500, 0.000)
Cl (0.500, 0.500, 0.500)

Properties
Fermi-level density of states	1.0595	states/eV per atom
calculated volume	16.21	Å³/atom

Q: Which of them is the least stable? A: P.

## P
A geometry-optimized Re3WCl structure. Source: Alexandria, functional GGA-PBE.

abc: 4.324 4.324 4.324
angles: 90.00 90.00 90.00
Atoms (fractional coordinates):
Re (0.000, 0.000, 0.500)
Re (0.000, 0.500, 0.000)
Re (0.500, 0.000, 0.000)
W (0.500, 0.500, 0.500)
Cl (0.000, 0.000, 0.000)

Properties
Fermi-level density of states	0.7816	states/eV per atom
calculated volume	16.17	Å³/atom

## Q
A geometry-optimized Re3WCl structure. Source: Alexandria, functional GGA-PBE.

abc: 4.837 4.837 4.837
angles: 90.00 90.00 90.00
Atoms (fractional coordinates):
Re (0.000, 0.000, 0.500)
Re (0.000, 0.500, 0.000)
Re (0.500, 0.000, 0.000)
W (0.000, 0.000, 0.000)
Cl (0.500, 0.500, 0.500)

Properties
Fermi-level density of states	1.4406	states/eV per atom
calculated volume	22.63	Å³/atom

Q: Which of them is the least stable? A: Q.

## P
A geometry-optimized YReCl structure. Source: Alexandria, functional GGA-PBE.

abc: 3.324 3.324 7.448
angles: 90.00 90.00 120.00
Atoms (fractional coordinates):
Y (0.000, 0.000, 0.000)
Re (0.333, 0.667, 0.712)
Cl (0.667, 0.333, 0.261)

Properties
Fermi-level density of states	0.4413	states/eV per atom
calculated volume	23.76	Å³/atom

## Q
A geometry-optimized YReCl structure. Source: Alexandria, functional GGA-PBE.

abc: 4.576 4.576 3.139
angles: 90.00 90.00 120.00
Atoms (fractional coordinates):
Y (0.000, 0.000, 0.000)
Re (0.667, 0.333, 0.500)
Cl (0.333, 0.667, 0.500)

Properties
Fermi-level density of states	0.9067	states/eV per atom
calculated volume	18.98	Å³/atom

Q: Which of them is the least stable? A: Q.

## P
A geometry-optimized YReCl structure. Source: Alexandria, functional GGA-PBE.

abc: 8.169 8.041 3.064
angles: 81.47 76.76 21.77
Atoms (fractional coordinates):
Y (0.000, 0.000, 0.000)
Re (0.364, 0.364, 0.636)
Cl (0.622, 0.622, 0.378)

Properties
Fermi-level density of states	0.9845	states/eV per atom
calculated volume	23.83	Å³/atom

## Q
A geometry-optimized YReCl structure. Source: Alexandria, functional GGA-PBE.

abc: 4.528 4.528 4.528
angles: 60.00 60.00 60.00
Atoms (fractional coordinates):
Y (0.000, 0.000, 0.000)
Re (0.500, 0.500, 0.500)
Cl (0.750, 0.750, 0.750)

Properties
Fermi-level density of states	1.0337	states/eV per atom
calculated volume	21.88	Å³/atom

## R
A geometry-optimized YReCl structure. Source: Alexandria, functional GGA-PBE.

abc: 8.043 8.043 8.043
angles: 158.21 158.21 31.01
Atoms (fractional coordinates):
Y (0.000, 0.000, 0.000)
Re (0.363, 0.363, 0.000)
Cl (0.618, 0.618, 0.000)

Properties
Fermi-level density of states	0.6005	states/eV per atom
calculated volume	23.88	Å³/atom

## S
A geometry-optimized YReCl structure. Source: Alexandria, functional GGA-PBE.

abc: 4.863 4.863 4.863
angles: 60.00 60.00 60.00
Atoms (fractional coordinates):
Y (0.000, 0.000, 0.000)
Re (0.750, 0.750, 0.750)
Cl (0.250, 0.250, 0.250)

Properties
Fermi-level density of states	2.0147	states/eV per atom
calculated volume	27.11	Å³/atom

Q: Which of them is the least stable? A: S.

## P
A geometry-optimized Zr3ReCl structure. Source: Alexandria, functional GGA-PBE.

abc: 4.703 4.703 4.703
angles: 90.00 90.00 90.00
Atoms (fractional coordinates):
Zr (0.000, 0.000, 0.500)
Zr (0.000, 0.500, 0.000)
Zr (0.500, 0.000, 0.000)
Re (0.500, 0.500, 0.500)
Cl (0.000, 0.000, 0.000)

Properties
Fermi-level density of states	0.7318	states/eV per atom
calculated volume	20.80	Å³/atom

## Q
A geometry-optimized Zr3ReCl structure. Source: Alexandria, functional GGA-PBE.

abc: 5.145 5.145 5.145
angles: 90.00 90.00 90.00
Atoms (fractional coordinates):
Zr (0.000, 0.000, 0.500)
Zr (0.000, 0.500, 0.000)
Zr (0.500, 0.000, 0.000)
Re (0.000, 0.000, 0.000)
Cl (0.500, 0.500, 0.500)

Properties
Fermi-level density of states	0.0610	states/eV per atom
calculated volume	27.24	Å³/atom

Q: Which of them is the least stable? A: Q.

## P
A geometry-optimized ZrRe3Cl structure. Source: Alexandria, functional GGA-PBE.

abc: 4.404 4.404 4.404
angles: 90.00 90.00 90.00
Atoms (fractional coordinates):
Zr (0.000, 0.000, 0.000)
Re (0.000, 0.500, 0.500)
Re (0.500, 0.000, 0.500)
Re (0.500, 0.500, 0.000)
Cl (0.500, 0.500, 0.500)

Properties
Fermi-level density of states	0.8750	states/eV per atom
calculated volume	17.08	Å³/atom

## Q
A geometry-optimized ZrRe3Cl structure. Source: Alexandria, functional GGA-PBE.

abc: 4.978 4.978 4.978
angles: 90.00 90.00 90.00
Atoms (fractional coordinates):
Zr (0.000, 0.000, 0.000)
Re (0.000, 0.000, 0.500)
Re (0.000, 0.500, 0.000)
Re (0.500, 0.000, 0.000)
Cl (0.500, 0.500, 0.500)

Properties
Fermi-level density of states	1.1291	states/eV per atom
calculated volume	24.68	Å³/atom

Q: Which of them is the least stable? A: Q.

## P
A geometry-optimized Rh2Cl structure. Source: Alexandria, functional GGA-PBE.

abc: 3.896 3.896 3.585
angles: 90.00 90.00 120.00
Atoms (fractional coordinates):
Rh (0.333, 0.667, 0.326)
Rh (0.667, 0.333, 0.674)
Cl (0.000, 0.000, 0.000)

Properties
Fermi-level density of states	1.3622	states/eV per atom
calculated volume	15.71	Å³/atom

## Q
A geometry-optimized Rh2Cl structure. Source: Alexandria, functional GGA-PBE.

abc: 5.908 5.908 7.020
angles: 90.00 90.00 120.00
Atoms (fractional coordinates):
Rh (0.000, 0.000, 0.000)
Rh (0.000, 0.000, 0.500)
Rh (0.177, 0.354, 0.250)
Rh (0.177, 0.823, 0.250)
Rh (0.354, 0.177, 0.750)
Rh (0.646, 0.823, 0.250)
Rh (0.823, 0.177, 0.750)
Rh (0.823, 0.646, 0.750)
Cl (0.333, 0.667, 0.521)
Cl (0.333, 0.667, 0.979)
Cl (0.667, 0.333, 0.021)
Cl (0.667, 0.333, 0.479)

Properties
Fermi-level density of states	1.4601	states/eV per atom
calculated volume	17.68	Å³/atom

## R
A geometry-optimized Rh2Cl structure. Source: Alexandria, functional GGA-PBE.

abc: 5.824 5.824 5.824
angles: 150.63 150.63 42.02
Atoms (fractional coordinates):
Rh (0.174, 0.174, 0.000)
Rh (0.826, 0.826, 0.000)
Cl (0.500, 0.500, 0.000)

Properties
Fermi-level density of states	1.4212	states/eV per atom
calculated volume	15.80	Å³/atom

## S
A geometry-optimized Rh2Cl structure. Source: Alexandria, functional GGA-PBE.

abc: 5.625 5.625 5.625
angles: 131.49 129.48 72.65
Atoms (fractional coordinates):
Rh (0.284, 0.034, 0.250)
Rh (0.428, 0.678, 0.750)
Rh (0.572, 0.322, 0.250)
Rh (0.716, 0.966, 0.750)
Cl (0.122, 0.372, 0.750)
Cl (0.878, 0.628, 0.250)

Properties
Fermi-level density of states	1.0839	states/eV per atom
calculated volume	16.76	Å³/atom

Q: Which of them is the least stable? A: Q.

## P
A geometry-optimized Rh2Cl structure. Source: Alexandria, functional GGA-PBE.

abc: 5.759 5.759 5.759
angles: 90.00 90.00 90.00
Atoms (fractional coordinates):
Rh (0.144, 0.144, 0.144)
Rh (0.144, 0.356, 0.644)
Rh (0.356, 0.644, 0.144)
Rh (0.356, 0.856, 0.644)
Rh (0.644, 0.144, 0.356)
Rh (0.644, 0.356, 0.856)
Rh (0.856, 0.644, 0.356)
Rh (0.856, 0.856, 0.856)
Cl (0.000, 0.000, 0.500)
Cl (0.000, 0.500, 0.000)
Cl (0.500, 0.000, 0.000)
Cl (0.500, 0.500, 0.500)

Properties
Fermi-level density of states	1.3779	states/eV per atom
calculated volume	15.91	Å³/atom

## Q
A geometry-optimized Rh2Cl structure. Source: Alexandria, functional GGA-PBE.

abc: 6.759 6.759 5.521
angles: 113.67 113.67 24.76
Atoms (fractional coordinates):
Rh (0.049, 0.049, 0.259)
Rh (0.391, 0.391, 0.292)
Rh (0.609, 0.609, 0.708)
Rh (0.951, 0.951, 0.741)
Cl (0.308, 0.308, 0.817)
Cl (0.692, 0.692, 0.183)

Properties
Fermi-level density of states	1.0138	states/eV per atom
calculated volume	16.05	Å³/atom

## R
A geometry-optimized Rh2Cl structure. Source: Alexandria, functional GGA-PBE.

abc: 3.778 3.778 8.080
angles: 90.00 90.00 120.00
Atoms (fractional coordinates):
Rh (0.333, 0.667, 0.079)
Rh (0.333, 0.667, 0.421)
Rh (0.667, 0.333, 0.579)
Rh (0.667, 0.333, 0.921)
Cl (0.000, 0.000, 0.250)
Cl (0.000, 0.000, 0.750)

Properties
Fermi-level density of states	1.0967	states/eV per atom
calculated volume	16.65	Å³/atom

Q: Which of them is the least stable? A: P.